P) {"formula": "ScBeAl2Cu4", "functional": "PBE", "state": "relaxed", "lattice": [[-6.085, -2.960, 2.960], [-6.085, 2.960, -2.960], [6.085, -2.960, -2.960]], "species": ["Be", "Be", "Al", "Al", "Al", "Al", "Cu", "Cu", "Cu", "Cu", "Cu", "Cu", "Cu", "Cu", "Sc", "Sc"], "fractional_positions": [[0.750, 0.750, 0.000], [0.000, 0.500, 0.500], [0.740, 0.240, 0.500], [0.010, 0.010, 0.000], [0.490, 0.490, 0.000], [0.260, 0.760, 0.500], [0.875, 0.409, 0.034], [0.091, 0.125, 0.466], [0.875, 0.841, 0.466], [0.659, 0.625, 0.534], [0.375, 0.841, 0.966], [0.659, 0.125, 0.034], [0.091, 0.625, 0.966], [0.375, 0.409, 0.534], [0.250, 0.250, 0.000], [0.500, 0.000, 0.500]], "crystal_system": "tetragonal", "sg": "I4_1/amd (141)"}

***

Q) {"formula": "ScBeAl2Cu4", "functional": "PBE", "state": "relaxed", "lattice": [[4.106, 0.000, 0.000], [0.000, 4.106, 0.000], [0.000, 0.000, 6.310]], "species": ["Cu", "Cu", "Cu", "Cu", "Al", "Al", "Sc", "Be"], "fractional_positions": [[0.000, 0.500, 0.219], [0.500, 0.000, 0.219], [0.500, 0.000, 0.781], [0.000, 0.500, 0.781], [0.000, 0.000, 0.000], [0.500, 0.500, 0.500], [0.000, 0.000, 0.500], [0.500, 0.500, 0.000]], "crystal_system": "tetragonal", "sg": "P4/mmm (123)"}

***

Stability summary: most stable Q), least stable P).

***

P) {"formula": "BeAlCuW", "functional": "PBE", "state": "relaxed", "lattice": [[0.000, 2.955, 2.955], [2.955, 0.000, 2.955], [2.955, 2.955, 0.000]], "species": ["Be", "Al", "Cu", "W"], "fractional_positions": [[0.250, 0.250, 0.250], [0.000, 0.000, 0.000], [0.750, 0.750, 0.750], [0.500, 0.500, 0.500]], "crystal_system": "cubic", "sg": "F-43m (216)"}

***

Q) {"formula": "BeAlCuW", "functional": "PBE", "state": "relaxed", "lattice": [[4.037, -1.061, -0.319], [1.153, -4.002, 0.426], [1.341, -2.158, -3.327]], "species": ["Cu", "Al", "Be", "W"], "fractional_positions": [[0.750, 0.750, 0.750], [0.000, 0.000, 0.000], [0.500, 0.500, 0.500], [0.250, 0.250, 0.250]], "crystal_system": "cubic", "sg": "F-43m (216)"}

***

Stability summary: most stable Q), least stable P).

***

P) {"formula": "BeAl2ZnCu4", "functional": "PBE", "state": "relaxed", "lattice": [[-0.530, 3.645, 6.042], [3.454, -3.461, 5.116], [1.968, 1.952, -6.511]], "species": ["Cu", "Cu", "Cu", "Cu", "Cu", "Cu", "Cu", "Cu", "Zn", "Zn", "Be", "Be", "Al", "Al", "Al", "Al"], "fractional_positions": [[0.650, 0.625, 0.525], [0.375, 0.400, 0.525], [0.650, 0.125, 0.025], [0.875, 0.400, 0.025], [0.100, 0.125, 0.475], [0.875, 0.850, 0.475], [0.100, 0.625, 0.975], [0.375, 0.850, 0.975], [0.250, 0.250, 0.000], [0.500, 0.000, 0.500], [0.750, 0.750, 0.000], [0.000, 0.500, 0.500], [0.741, 0.241, 0.500], [0.009, 0.009, 0.000], [0.491, 0.491, 0.000], [0.259, 0.759, 0.500]], "crystal_system": "tetragonal", "sg": "I4_1/amd (141)"}

***

Q) {"formula": "BeAl2ZnCu4", "functional": "PBE", "state": "relaxed", "lattice": [[2.888, -2.888, 0.000], [-2.888, -2.888, 0.000], [0.000, 0.000, -5.851]], "species": ["Cu", "Cu", "Cu", "Cu", "Zn", "Al", "Al", "Be"], "fractional_positions": [[0.000, 0.500, 0.234], [0.000, 0.500, 0.766], [0.500, 0.000, 0.234], [0.500, 0.000, 0.766], [0.000, 0.000, 0.500], [0.500, 0.500, 0.500], [0.000, 0.000, 0.000], [0.500, 0.500, 0.000]], "crystal_system": "tetragonal", "sg": "P4/mmm (123)"}

***

Stability summary: most stable P), least stable Q).

***

P) {"formula": "ErBeAl", "functional": "PBE", "state": "relaxed", "lattice": [[0.000, 3.064, 3.064], [3.064, 0.000, 3.064], [3.064, 3.064, 0.000]], "species": ["Al", "Er", "Be"], "fractional_positions": [[0.250, 0.250, 0.250], [0.750, 0.750, 0.750], [0.000, 0.000, 0.000]], "crystal_system": "cubic", "sg": "F-43m (216)"}

***

Q) {"formula": "ErBeAl", "functional": "PBE", "state": "relaxed", "lattice": [[0.000, 3.259, 3.259], [3.259, 0.000, 3.259], [3.259, 3.259, 0.000]], "species": ["Al", "Er", "Be"], "fractional_positions": [[0.250, 0.250, 0.250], [0.000, 0.000, 0.000], [0.750, 0.750, 0.750]], "crystal_system": "cubic", "sg": "F-43m (216)"}

***

Stability summary: most stable P), least stable Q).

***

P) {"formula": "LiBeAlFe", "functional": "PBE", "state": "relaxed", "lattice": [[-2.018, -3.418, 0.250], [-3.435, -0.140, 2.000], [-3.430, -0.433, -1.966]], "species": ["Fe", "Al", "Li", "Be"], "fractional_positions": [[0.500, 0.500, 0.500], [0.000, 0.000, 0.000], [0.750, 0.750, 0.750], [0.250, 0.250, 0.250]], "crystal_system": "cubic", "sg": "F-43m (216)"}

***

Q) {"formula": "LiBeAlFe", "functional": "PBE", "state": "relaxed", "lattice": [[2.928, -2.658, 0.197], [-0.286, -3.411, -1.989], [2.299, -0.650, -3.157]], "species": ["Al", "Fe", "Be", "Li"], "fractional_positions": [[0.000, 0.000, 0.000], [0.750, 0.750, 0.750], [0.500, 0.500, 0.500], [0.250, 0.250, 0.250]], "crystal_system": "cubic", "sg": "F-43m (216)"}

***

Stability summary: most stable Q), least stable P).

***

P) {"formula": "LuBeAlFe", "functional": "PBE", "state": "relaxed", "lattice": [[1.993, 1.954, 3.345], [-2.143, 0.642, 3.738], [1.066, -2.298, 3.544]], "species": ["Al", "Lu", "Fe", "Be"], "fractional_positions": [[0.000, 0.000, 0.000], [0.500, 0.500, 0.500], [0.750, 0.750, 0.750], [0.250, 0.250, 0.250]], "crystal_system": "cubic", "sg": "F-43m (216)"}

***

Q) {"formula": "LuBeAlFe", "functional": "PBE", "state": "relaxed", "lattice": [[-2.107, -0.284, 3.841], [-2.721, 3.209, 1.254], [-4.333, -0.702, 0.080]], "species": ["Lu", "Al", "Be", "Fe"], "fractional_positions": [[0.250, 0.250, 0.250], [0.000, 0.000, 0.000], [0.500, 0.500, 0.500], [0.750, 0.750, 0.750]], "crystal_system": "cubic", "sg": "F-43m (216)"}

***

Stability summary: most stable P), least stable Q).

***

P) {"formula": "BeAlFeMo", "functional": "PBE", "state": "relaxed", "lattice": [[0.798, 0.468, 3.980], [-1.687, 3.092, 2.072], [-2.911, -0.744, 2.769]], "species": ["Be", "Al", "Fe", "Mo"], "fractional_positions": [[0.250, 0.250, 0.250], [0.000, 0.000, 0.000], [0.750, 0.750, 0.750], [0.500, 0.500, 0.500]], "crystal_system": "cubic", "sg": "F-43m (216)"}

***

Q) {"formula": "BeAlFeMo", "functional": "PBE", "state": "relaxed", "lattice": [[0.000, 2.933, 2.933], [2.933, 0.000, 2.933], [2.933, 2.933, 0.000]], "species": ["Mo", "Al", "Fe", "Be"], "fractional_positions": [[0.250, 0.250, 0.250], [0.000, 0.000, 0.000], [0.750, 0.750, 0.750], [0.500, 0.500, 0.500]], "crystal_system": "cubic", "sg": "F-43m (216)"}

***

Stability summary: most stable P), least stable Q).

***

P) {"formula": "BeAlFeW", "functional": "PBE", "state": "relaxed", "lattice": [[0.000, 2.938, 2.938], [2.938, 0.000, 2.938], [2.938, 2.938, 0.000]], "species": ["Al", "Be", "Fe", "W"], "fractional_positions": [[0.000, 0.000, 0.000], [0.500, 0.500, 0.500], [0.750, 0.750, 0.750], [0.250, 0.250, 0.250]], "crystal_system": "cubic", "sg": "F-43m (216)"}

***

Q) {"formula": "BeAlFeW", "functional": "PBE", "state": "relaxed", "lattice": [[-2.083, -3.529, -0.086], [-3.813, -0.093, -1.500], [-0.749, -1.850, -3.579]], "species": ["Fe", "Be", "Al", "W"], "fractional_positions": [[0.750, 0.750, 0.750], [0.250, 0.250, 0.250], [0.000, 0.000, 0.000], [0.500, 0.500, 0.500]], "crystal_system": "cubic", "sg": "F-43m (216)"}

***

Stability summary: most stable Q), least stable P).